ZnSb | PBE | optimized geometry

Results
- Formation energy from raw total energies: 18.3 kJ/mol of atoms

Cell: 3.3917 3.3917 4.0863 Å, 90.00 90.00 105.63°
With the nearest neighbours (Å) after each atom.
Element x y z (fractional)
1 Zn 0.0000 0.0000 0.0000  4 Sb 2.89
2 Sb 0.5000 0.5000 0.5000  4 Zn 2.89



ReMo2 | PBE | optimized geometry

Results
- Relative energy among the computed polymorphs: 8 meV per atom
- E_form: 0.156 eV/f.u.

Cell: 5.2142 5.2142 6.2935 Å, 107.58 107.58 35.11°
With the nearest neighbours (Å) after each atom.
Element x y z (fractional)
1 Re 0.1655 0.1655 0.0840  6 Mo 2.71-2.73, 2 Re 2.75
2 Re 0.8345 0.8345 0.9160  6 Mo 2.71-2.73, 2 Re 2.75
3 Mo 0.1679 0.1679 0.5830  6 Mo 2.70-2.74, 2 Re 2.72
4 Mo 0.4973 0.4973 0.2499  4 Re 2.71-2.73, 4 Mo 2.71-2.74
5 Mo 0.5027 0.5027 0.7501  4 Re 2.71-2.73, 4 Mo 2.71-2.74
6 Mo 0.8321 0.8321 0.4170  6 Mo 2.70-2.74, 2 Re 2.72



BiPO2F | PBE | optimized geometry

Results
- Formation energy from raw total energies: 10.0 kJ/mol of atoms

Cell: 4.0864 4.0864 5.7898 Å, 90.00 90.00 90.00°
With the nearest neighbours (Å) after each atom.
Element x y z (fractional)
1 Bi 0.0000 0.0000 0.0000  4 O 2.04
2 P 0.0000 0.0000 0.5000  4 F 2.89, 2 Bi 2.89
3 O 0.0000 0.5000 0.0000  2 Bi 2.04
4 O 0.5000 0.0000 0.0000  2 Bi 2.04
5 F 0.5000 0.5000 0.5000  4 P 2.89



CsCdBF6 | PBE | optimized geometry

Results
- Formation energy from raw total energies: -225.8 kJ/mol of atoms

Cell: 5.3928 5.3928 6.2258 Å, 90.00 90.00 120.00°
With the nearest neighbours (Å) after each atom.
Element x y z (fractional)
1 Cs 0.0000 0.0000 0.0000  6 F 3.00
2 Cd 0.3333 0.6667 0.5000  6 F 2.26
3 B 0.6667 0.3333 0.5000  6 F 1.65
4 F 0.4218 0.0817 0.6548  1 B 1.65
5 F 0.4218 0.3401 0.3452  1 B 1.65
6 F 0.6599 0.0817 0.3452  1 B 1.65
7 F 0.6599 0.5782 0.6548  1 B 1.65
8 F 0.9183 0.3401 0.6548  1 B 1.65
9 F 0.9183 0.5782 0.3452  1 B 1.65



Cu2ReAgTe | PBE | optimized geometry

Results
- Formation energy from raw total energies: 102.1 kJ/mol of atoms

Cell: 4.8286 4.8286 4.9570 Å, 90.00 90.00 90.00°
With the nearest neighbours (Å) after each atom.
Element x y z (fractional)
1 Cu 0.0000 0.5000 0.0000  2 Re 2.41
2 Cu 0.5000 0.0000 0.0000  2 Re 2.41
3 Re 0.0000 0.0000 0.0000  4 Cu 2.41, 2 Te 2.48
4 Ag 0.5000 0.5000 0.5000  4 Te 3.41, 8 Cu 3.46
5 Te 0.0000 0.0000 0.5000  2 Re 2.48



TcIrBr2 | PBE | optimized geometry

Results
- Relative energy among the computed polymorphs: 861 meV per atom
- Formation energy from raw total energies: 99.1 kJ/mol of atoms

Cell: 8.5107 8.5107 8.5107 Å, 149.86 149.86 43.14°
With the nearest neighbours (Å) after each atom.
Element x y z (fractional)
1 Tc 0.0000 0.0000 0.0000  4 Br 2.51
2 Tc 0.7500 0.2500 0.5000  4 Br 2.51
3 Ir 0.2500 0.7500 0.5000  4 Br 2.53
4 Ir 0.5000 0.5000 0.0000  4 Br 2.53
5 Br 0.1202 0.6250 0.9952  2 Tc 2.51, 2 Ir 2.53
6 Br 0.3750 0.3702 0.4952  2 Tc 2.51, 2 Ir 2.53
7 Br 0.6298 0.1250 0.0048  2 Tc 2.51, 2 Ir 2.53
8 Br 0.8750 0.8798 0.5048  2 Tc 2.51, 2 Ir 2.53



B7C3 | PBE | optimized geometry

Results
- Relative energy among the computed polymorphs: 135 meV per atom
- E_form: 4.266 eV/f.u.

Cell: 3.5981 4.6218 4.7794 Å, 81.16 72.15 67.98°
With the nearest neighbours (Å) after each atom.
Element x y z (fractional)
1 B 0.0000 0.0000 0.0000  1 C 1.57, 1 B 1.66
2 B 0.0220 0.9851 0.3439  2 C 1.55-1.63, 1 B 1.66
3 B 0.3057 0.4562 0.8824  1 C 1.58, 1 B 1.74
4 B 0.3636 0.1580 0.6713  2 C 1.57-1.60, 1 B 1.74
5 B 0.4978 0.6925 0.1273  1 C 1.62, 1 B 1.72
6 B 0.5332 0.3092 0.2042  1 C 1.61, 1 B 1.72
7 B 0.7067 0.5337 0.4809  2 C 1.56-1.63
8 C 0.1273 0.2522 0.4261  4 B 1.55-1.61
9 C 0.7377 0.8284 0.6108  1 C 1.52, 3 B 1.60-1.63
10 C 0.8964 0.7465 0.8831  1 C 1.52, 3 B 1.57-1.62



NdHRh | PBE | optimized geometry

Results
- Relative energy among the computed polymorphs: 316 meV per atom

Cell: 3.9256 3.9256 3.7084 Å, 90.00 90.00 120.00°
With the nearest neighbours (Å) after each atom.
Element x y z (fractional)
1 Nd 0.0000 0.0000 0.0000  6 Rh 2.93, 6 H 2.93
2 H 0.3333 0.6667 0.5000  3 Rh 2.27
3 Rh 0.6667 0.3333 0.5000  3 H 2.27



BaInSn2 | PBE | optimized geometry

Results
- E_form: -1.266 eV/f.u.

Cell: 6.8104 6.8104 4.9825 Å, 108.80 108.80 41.07°
With the nearest neighbours (Å) after each atom.
Element x y z (fractional)
1 Ba 0.0000 0.0000 0.0000  6 Sn 3.54-3.80, 3 In 3.65-3.82
2 In 0.2512 0.2512 0.8057  4 Sn 2.92-2.96
3 Sn 0.3835 0.3835 0.4198  2 In 2.94-2.96, 1 Sn 2.95
4 Sn 0.6270 0.6270 0.5388  2 In 2.92, 1 Sn 2.95



KPmHgAu | PBE | optimized geometry

Results
- E_form: -1.067 eV/f.u.

Cell: 5.3805 5.3805 5.3805 Å, 60.00 60.00 60.00°
With the nearest neighbours (Å) after each atom.
Element x y z (fractional)
1 K 0.0000 0.0000 0.0000  4 Hg 3.29, 4 Au 3.29
2 Pm 0.5000 0.5000 0.5000  4 Hg 3.29, 4 Au 3.29
3 Hg 0.7500 0.7500 0.7500  4 K 3.29, 4 Pm 3.29
4 Au 0.2500 0.2500 0.2500  4 K 3.29, 4 Pm 3.29



Ac2GaGe3Ir4 | PBE | optimized geometry

Results
- E_form: -7.376 eV/f.u.

Cell: 4.3443 4.3443 10.5052 Å, 90.00 90.00 90.00°
With the nearest neighbours (Å) after each atom.
Element x y z (fractional)
1 Ac 0.0000 0.5000 0.2459  8 Ir 3.30-3.44, 6 Ge 3.35-3.37, 2 Ga 3.37
2 Ac 0.5000 0.0000 0.7541  8 Ir 3.30-3.44, 6 Ge 3.35-3.37, 2 Ga 3.37
3 Ga 0.5000 0.5000 0.0000  4 Ir 2.57
4 Ge 0.0000 0.0000 0.0000  4 Ir 2.57
5 Ge 0.0000 0.5000 0.6271  5 Ir 2.55
6 Ge 0.5000 0.0000 0.3729  5 Ir 2.55
7 Ir 0.0000 0.0000 0.5000  4 Ge 2.55
8 Ir 0.0000 0.5000 0.8697  3 Ge 2.55-2.57, 2 Ga 2.57
9 Ir 0.5000 0.0000 0.1303  3 Ge 2.55-2.57, 2 Ga 2.57
10 Ir 0.5000 0.5000 0.5000  4 Ge 2.55



KSr2MgAu | PBE | optimized geometry

Results
- E_form: -1.231 eV/f.u.

Cell: 6.2464 6.2464 5.3653 Å, 90.00 90.00 90.00°
With the nearest neighbours (Å) after each atom.
Element x y z (fractional)
1 K 0.0000 0.0000 0.0000  8 Sr 4.12, 4 Mg 4.42
2 Sr 0.0000 0.5000 0.5000  2 Au 3.12
3 Sr 0.5000 0.0000 0.5000  2 Au 3.12
4 Mg 0.5000 0.5000 0.0000  2 Au 2.68
5 Au 0.5000 0.5000 0.5000  2 Mg 2.68



Na2DyEr3Se6 | PBE | optimized geometry

Results
- Formation energy from raw total energies: -164.3 kJ/mol of atoms

Cell: 7.0576 7.0576 7.1457 Å, 99.47 99.47 119.93°
With the nearest neighbours (Å) after each atom.
Element x y z (fractional)
1 Na 0.1660 0.8340 0.0000  6 Se 2.93-2.94
2 Na 0.8340 0.1660 0.0000  6 Se 2.93-2.94
3 Dy 0.5000 0.5000 0.0000  6 Se 2.90-2.91
4 Er 0.0000 0.0000 0.5000  6 Se 2.86-2.88
5 Er 0.3311 0.6689 0.5000  6 Se 2.86-2.88
6 Er 0.6689 0.3311 0.5000  6 Se 2.86-2.88
7 Se 0.0850 0.4148 0.7443  3 Er 2.86-2.88, 1 Dy 2.90, 2 Na 2.93
8 Se 0.2574 0.2574 0.2594  3 Er 2.87-2.88, 1 Dy 2.91, 2 Na 2.94
9 Se 0.4148 0.0850 0.7443  3 Er 2.86-2.88, 1 Dy 2.90, 2 Na 2.93
10 Se 0.5852 0.9150 0.2557  3 Er 2.86-2.88, 1 Dy 2.90, 2 Na 2.93
11 Se 0.7426 0.7426 0.7406  3 Er 2.87-2.88, 1 Dy 2.91, 2 Na 2.94
12 Se 0.9150 0.5852 0.2557  3 Er 2.86-2.88, 1 Dy 2.90, 2 Na 2.93



K2ZrCl | PBE | optimized geometry

Results
- Relative energy among the computed polymorphs: 471 meV per atom
- Formation energy from raw total energies: 18.3 kJ/mol of atoms

Cell: 6.4243 6.4243 3.6803 Å, 90.00 90.00 112.91°
With the nearest neighbours (Å) after each atom.
Element x y z (fractional)
1 K 0.0000 0.5000 0.0000  4 K 3.55-3.68, 4 Cl 3.70, 4 Zr 3.70
2 K 0.5000 0.0000 0.0000  4 K 3.55-3.68, 4 Cl 3.70, 4 Zr 3.70
3 Zr 0.0000 0.0000 0.5000  2 Cl 3.55, 2 Zr 3.68, 8 K 3.70
4 Cl 0.5000 0.5000 0.5000  2 Zr 3.55, 2 Cl 3.68, 8 K 3.70



EuNiRh | PBE | optimized geometry

Results
- E_form: -0.632 eV/f.u.

Cell: 4.1278 4.1278 4.1296 Å, 90.00 90.00 120.00°
With the nearest neighbours (Å) after each atom.
Element x y z (fractional)
1 Eu 0.0000 0.0000 0.0000  6 Ni 3.15, 6 Rh 3.15
2 Ni 0.3333 0.6667 0.5000  3 Rh 2.38
3 Rh 0.6667 0.3333 0.5000  3 Ni 2.38



Ca8SnRh2 | PBE | optimized geometry

Results
- E_form: -3.902 eV/f.u.

Cell: 8.1305 8.1305 5.5826 Å, 97.66 97.66 111.92°
With the nearest neighbours (Å) after each atom.
Element x y z (fractional)
1 Ca 0.0000 0.0000 0.0000  2 Rh 3.03, 1 Sn 3.37
2 Ca 0.0519 0.3197 0.6239  2 Rh 2.99-3.01
3 Ca 0.1347 0.6248 0.2012  2 Rh 2.96, 1 Sn 3.30
4 Ca 0.3197 0.0519 0.6239  2 Rh 2.99-3.01
5 Ca 0.4399 0.7079 0.7786  2 Rh 2.99-3.01
6 Ca 0.6248 0.1347 0.2012  2 Rh 2.96, 1 Sn 3.30
7 Ca 0.7079 0.4399 0.7786  2 Rh 2.99-3.01
8 Ca 0.7596 0.7596 0.4023  2 Rh 3.03, 1 Sn 3.37
9 Sn 0.3797 0.3797 0.1998  4 Ca 3.30-3.37
10 Rh 0.0623 0.6973 0.7012  8 Ca 2.96-3.03
11 Rh 0.6973 0.0623 0.7012  8 Ca 2.96-3.03



Pr5Th2S12 | PBE | optimized geometry

Results
- Formation energy from raw total energies: -177.8 kJ/mol of atoms

Cell: 8.7552 8.7552 9.2563 Å, 106.28 106.28 52.68°
With the nearest neighbours (Å) after each atom.
Element x y z (fractional)
1 Pr 0.0000 0.0000 0.0000  6 S 2.76-2.97
2 Pr 0.2930 0.2930 0.1324  7 S 2.91-3.09
3 Pr 0.3104 0.3104 0.6740  7 S 2.89-3.09
4 Pr 0.6896 0.6896 0.3260  7 S 2.89-3.09
5 Pr 0.7070 0.7070 0.8676  7 S 2.91-3.09
6 Th 0.2504 0.7496 0.5000  6 S 2.71-2.79
7 Th 0.7496 0.2504 0.5000  6 S 2.71-2.79
8 S 0.0143 0.0143 0.3053  2 Th 2.71, 1 Pr 2.76
9 S 0.0965 0.5397 0.4012  1 Th 2.72, 2 Pr 2.89-2.95
10 S 0.1043 0.5981 0.9357  4 Pr 2.91-3.00
11 S 0.4019 0.8957 0.0643  4 Pr 2.91-3.00
12 S 0.4603 0.9035 0.5988  1 Th 2.72, 2 Pr 2.89-2.95
13 S 0.4985 0.4985 0.2825  2 Th 2.79, 2 Pr 2.90-3.09
14 S 0.5015 0.5015 0.7175  2 Th 2.79, 2 Pr 2.90-3.09
15 S 0.5397 0.0965 0.4012  1 Th 2.72, 2 Pr 2.89-2.95
16 S 0.5981 0.1043 0.9357  4 Pr 2.91-3.00
17 S 0.8957 0.4019 0.0643  4 Pr 2.91-3.00
18 S 0.9035 0.4603 0.5988  1 Th 2.72, 2 Pr 2.89-2.95
19 S 0.9857 0.9857 0.6947  2 Th 2.71, 1 Pr 2.76



LaSm2Dy2Mg | PBE | optimized geometry

Results
- E_form: 1.246 eV/f.u.

Cell: 6.2119 18.7981 3.3992 Å, 90.00 90.00 90.00°
With the nearest neighbours (Å) after each atom.
Element x y z (fractional)
1 La 0.0000 0.0000 0.0000  2 Dy 3.29, 2 La 3.40, 4 Mg 3.54
2 La 0.5000 0.5000 0.5000  2 Dy 3.29, 2 La 3.40, 4 Mg 3.54
3 Sm 0.1688 0.2014 0.0000  4 Dy 3.34-3.49, 2 Sm 3.40
4 Sm 0.3312 0.7014 0.5000  4 Dy 3.34-3.49, 2 Sm 3.40
5 Sm 0.6688 0.2986 0.5000  4 Dy 3.34-3.49, 2 Sm 3.40
6 Sm 0.8312 0.7986 0.0000  4 Dy 3.34-3.49, 2 Sm 3.40
7 Dy 0.1690 0.3636 0.5000  2 Mg 3.25, 1 La 3.29, 4 Sm 3.34-3.49, 2 Dy 3.40
8 Dy 0.3310 0.8636 0.0000  2 Mg 3.25, 1 La 3.29, 4 Sm 3.34-3.49, 2 Dy 3.40
9 Dy 0.6690 0.1364 0.0000  2 Mg 3.25, 1 La 3.29, 4 Sm 3.34-3.49, 2 Dy 3.40
10 Dy 0.8310 0.6364 0.5000  2 Mg 3.25, 1 La 3.29, 4 Sm 3.34-3.49, 2 Dy 3.40
11 Mg 0.0000 0.5000 0.0000  4 Dy 3.25, 2 Mg 3.40, 4 La 3.54
12 Mg 0.5000 0.0000 0.5000  4 Dy 3.25, 2 Mg 3.40, 4 La 3.54



PmEuPbAu | PBE | optimized geometry

Results
- E_form: -2.595 eV/f.u.

Cell: 5.4371 5.4371 5.4371 Å, 60.00 60.00 60.00°
With the nearest neighbours (Å) after each atom.
Element x y z (fractional)
1 Pm 0.0000 0.0000 0.0000  4 Au 3.33, 4 Pb 3.33
2 Eu 0.5000 0.5000 0.5000  4 Au 3.33, 4 Pb 3.33
3 Pb 0.2500 0.2500 0.2500  4 Eu 3.33, 4 Pm 3.33
4 Au 0.7500 0.7500 0.7500  4 Eu 3.33, 4 Pm 3.33



Zr2Cu2Tc | PBE | optimized geometry

Results
- Relative energy among the computed polymorphs: 0 meV per atom
- E_form: -0.856 eV/f.u.

Cell: 7.5272 7.5272 3.3485 Å, 90.00 90.00 153.19°
With the nearest neighbours (Å) after each atom.
Element x y z (fractional)
1 Zr 0.1087 0.8913 0.0000  4 Cu 2.73, 4 Tc 2.90
2 Zr 0.8913 0.1087 0.0000  4 Cu 2.73, 4 Tc 2.90
3 Cu 0.3046 0.6954 0.5000  2 Cu 2.37
4 Cu 0.6954 0.3046 0.5000  2 Cu 2.37
5 Tc 0.5000 0.5000 0.5000  2 Cu 2.86, 8 Zr 2.90



VMoCl2 | PBE | optimized geometry

Results
- Relative energy among the computed polymorphs: 209 meV per atom
- Formation energy from raw total energies: 25.5 kJ/mol of atoms

Cell: 8.3784 8.3784 8.3784 Å, 151.04 151.04 41.41°
With the nearest neighbours (Å) after each atom.
Element x y z (fractional)
1 V 0.0000 0.0000 0.0000  4 Cl 2.45
2 V 0.7500 0.2500 0.5000  4 Cl 2.45
3 Mo 0.2500 0.7500 0.5000  4 Cl 2.46
4 Mo 0.5000 0.5000 0.0000  4 Cl 2.46
5 Cl 0.1232 0.6250 0.9982  2 V 2.45, 2 Mo 2.46
6 Cl 0.3750 0.3732 0.4982  2 V 2.45, 2 Mo 2.46
7 Cl 0.6268 0.1250 0.0018  2 V 2.45, 2 Mo 2.46
8 Cl 0.8750 0.8768 0.5018  2 V 2.45, 2 Mo 2.46



Sc4Tc | PBE | optimized geometry

Results
- Relative energy among the computed polymorphs: 13 meV per atom
- E_form: -0.085 eV/f.u.

Cell: 5.7689 7.4283 5.4763 Å, 90.00 107.56 90.00°
With the nearest neighbours (Å) after each atom.
Element x y z (fractional)
1 Sc 0.2177 0.1529 0.0468  2 Tc 2.63-2.64
2 Sc 0.2177 0.8471 0.5468  2 Tc 2.63-2.64
3 Sc 0.2550 0.3983 0.5237  1 Tc 2.59
4 Sc 0.2550 0.6017 0.0237  1 Tc 2.59
5 Sc 0.7450 0.3983 0.9763  1 Tc 2.59
6 Sc 0.7450 0.6017 0.4763  1 Tc 2.59
7 Sc 0.7823 0.1529 0.4532  2 Tc 2.63-2.64
8 Sc 0.7823 0.8471 0.9532  2 Tc 2.63-2.64
9 Tc 0.5000 0.1206 0.7500  6 Sc 2.59-2.64
10 Tc 0.5000 0.8794 0.2500  6 Sc 2.59-2.64



Pm4Cl | PBE | optimized geometry

Results
- Formation energy from raw total energies: -48.5 kJ/mol of atoms

Cell: 5.4509 5.4509 5.4509 Å, 90.00 90.00 90.00°
With the nearest neighbours (Å) after each atom.
Element x y z (fractional)
1 Pm 0.0000 0.0000 0.0000  12 Pm 3.85
2 Pm 0.0000 0.5000 0.5000  2 Cl 2.73
3 Pm 0.5000 0.0000 0.5000  2 Cl 2.73
4 Pm 0.5000 0.5000 0.0000  2 Cl 2.73
5 Cl 0.5000 0.5000 0.5000  6 Pm 2.73



NaSm2I8 | PBE | optimized geometry

Results
- Formation energy from raw total energies: -102.3 kJ/mol of atoms

Cell: 10.9807 10.9807 6.2591 Å, 96.21 96.21 51.04°
With the nearest neighbours (Å) after each atom.
Element x y z (fractional)
1 Na 0.0000 0.0000 0.0000  6 I 3.28-3.50
2 Sm 0.1695 0.1695 0.7414  5 I 2.95-3.17
3 Sm 0.8305 0.8305 0.2586  5 I 2.95-3.17
4 I 0.1679 0.1679 0.2470  2 Sm 3.09-3.17
5 I 0.1692 0.6812 0.2615  1 Sm 2.97, 1 Na 3.28
6 I 0.3188 0.8308 0.7385  1 Sm 2.97, 1 Na 3.28
7 I 0.3196 0.3196 0.7940  1 Sm 2.95
8 I 0.6804 0.6804 0.2060  1 Sm 2.95
9 I 0.6812 0.1692 0.2615  1 Sm 2.97, 1 Na 3.28
10 I 0.8308 0.3188 0.7385  1 Sm 2.97, 1 Na 3.28
11 I 0.8321 0.8321 0.7530  2 Sm 3.09-3.17



TaTiAlW | PBE | optimized geometry

Results
- Relative energy among the computed polymorphs: 0 meV per atom
- E_form: -0.904 eV/f.u.

Cell: 3.2957 3.2957 6.1145 Å, 90.00 90.00 90.00°
With the nearest neighbours (Å) after each atom.
Element x y z (fractional)
1 Ta 0.0000 0.0000 0.0000  4 W 2.77, 4 Al 2.83, 1 Ti 2.95
2 Ti 0.0000 0.0000 0.5168  4 W 2.75, 4 Al 2.80, 1 Ta 2.95
3 Al 0.5000 0.5000 0.2634  4 Ti 2.80, 4 Ta 2.83, 2 W 3.01-3.10
4 W 0.5000 0.5000 0.7564  4 Ti 2.75, 4 Ta 2.77, 1 Al 3.01



Hf2NbSb | PBE | optimized geometry

Results
- Formation energy from raw total energies: -32.9 kJ/mol of atoms

Cell: 3.6440 3.6440 6.2649 Å, 90.00 90.00 90.00°
With the nearest neighbours (Å) after each atom.
Element x y z (fractional)
1 Hf 0.0000 0.0000 0.2441  4 Nb 3.00, 4 Sb 3.03, 2 Hf 3.06-3.21
2 Hf 0.0000 0.0000 0.7559  4 Nb 3.00, 4 Sb 3.03, 2 Hf 3.06-3.21
3 Nb 0.5000 0.5000 0.0000  8 Hf 3.00, 2 Sb 3.13
4 Sb 0.5000 0.5000 0.5000  8 Hf 3.03, 2 Nb 3.13